(1)
## YBe2As (GGA-PBE)

Data for YBe2As after structural relaxation.

Summary:
**Calculated density**: 4.3 g cm⁻³
**N(E_F)**: 1.89 states/eV/cell
**Total magnetization**: 0.000 Bohr magnetons per cell
**Formation energy**: -0.044 eV per atom
**Calculated volume**: 70.75 Å³/f.u.

Geometry as CIF:
```
data_YBe2As
_chemical_formula_sum 'Y4 Be8 As4'
_space_group_name_H-M_alt 'I -4 2 d'
_space_group_IT_number 122
_space_group_name_Hall 'I -4 2bw'
_cell_length_a 7.1636
_cell_length_b 7.1636
_cell_length_c 5.5144
_cell_angle_alpha 90.00
_cell_angle_beta 90.00
_cell_angle_gamma 90.00
loop_
_atom_site_label
_atom_site_fract_x
_atom_site_fract_y
_atom_site_fract_z
_atom_site_occupancy
Y1 0.0000 0.0000 0.0000 1
Be1 0.1816 0.2500 0.6250 1
As1 0.0000 0.0000 0.5000 1
```

=====

(2)
## Y2BeAs (GGA-PBE)

Data for Y2BeAs after structural relaxation.

Summary:
**Calculated density**: 5.1 g cm⁻³
**N(E_F)**: 16.38 states/eV/cell
**Total magnetization**: 0.000 Bohr magnetons per cell
**Formation energy**: -0.372 eV per atom
**Calculated volume**: 85.60 Å³/f.u.

Geometry as CIF:
```
data_Y2BeAs
_chemical_formula_sum 'Y8 Be4 As4'
_space_group_name_H-M_alt 'F m -3 m'
_space_group_IT_number 225
_space_group_name_Hall '-F 4 2 3'
_cell_length_a 6.9960
_cell_length_b 6.9960
_cell_length_c 6.9960
_cell_angle_alpha 90.00
_cell_angle_beta 90.00
_cell_angle_gamma 90.00
loop_
_atom_site_label
_atom_site_fract_x
_atom_site_fract_y
_atom_site_fract_z
_atom_site_occupancy
Y1 0.2500 0.2500 0.2500 1
Be1 0.0000 0.0000 0.0000 1
As1 0.0000 0.0000 0.5000 1
```